# RbLa2AgO4 PBE relaxed
data_RbLa2AgO4
_chemical_formula_sum 'Rb4 La8 Ag4 O16'
_symmetry_space_group_name_H-M 'C m c m'
_symmetry_Int_Tables_number 63
_symmetry_space_group_name_Hall '-C 2c 2'
_cell_length_a 3.7926
_cell_length_b 12.5971
_cell_length_c 12.7844
_cell_angle_alpha 90.00
_cell_angle_beta 90.00
_cell_angle_gamma 90.00
loop_
_atom_site_label
_atom_site_fract_x
_atom_site_fract_y
_atom_site_fract_z
Rb1 0.0000 0.0778 0.2500
La1 0.0000 0.3681 0.0608
Ag1 0.0000 0.2065 0.7500
O1 0.0000 0.0000 0.0000
O2 0.0000 0.2488 0.5848
O3 0.0000 0.4148 0.2500
# formation energy without anion corrections = -2.317 eV per atom
# total moment = 0.00 μB per formula unit
# total DFT energy (no corrections) = -6.5052 eV/atom